Entry 1:
Here is TbPrGaHg after structural relaxation from Alexandria. Energies are from PBE.

Cell: 5.299 5.299 5.299 Å, 60.00 60.00 60.00°
Atoms (fractional coordinates):
Pr 0.500 0.500 0.500
Tb 0.000 0.000 0.000
Hg 0.750 0.750 0.750
Ga 0.250 0.250 0.250

Computed properties:
- Density: 9.00 Mg/m³
- Energy relative to the elements: -0.49 eV/atom
- E above lowest polymorph: 30 meV/atom
- Energy: -3.68 eV/atom
- Spin magnetization: 0.00 Bohr magnetons per cell


Entry 2:
Here is Pr4GaHgTe2 after structural relaxation from Alexandria. Energies are from PBE.

Cell: 4.332 7.543 8.197 Å, 107.57 90.00 90.00°
Atoms (fractional coordinates):
Pr 0.500 0.257 0.250
Pr 0.500 0.743 0.750
Pr 0.000 0.259 0.757
Pr 0.000 0.741 0.243
Ga 0.500 0.500 0.000
Hg 0.000 0.000 0.000
Te 0.500 0.000 0.500
Te 0.000 0.500 0.500

Computed properties:
- Density: 7.08 Mg/m³
- Energy: -4.54 eV/atom
- Formation energy without anion corrections: -0.951 eV per atom
- Spin magnetization: 0.00 Bohr magnetons per cell


Question: Which formula does entry 1 have?
Answer: TbPrGaHg


Repeat the first record exactly.
Here is TbPrGaHg after structural relaxation from Alexandria. Energies are from PBE.

Cell: 5.299 5.299 5.299 Å, 60.00 60.00 60.00°
Atoms (fractional coordinates):
Pr 0.500 0.500 0.500
Tb 0.000 0.000 0.000
Hg 0.750 0.750 0.750
Ga 0.250 0.250 0.250

Computed properties:
- Density: 9.00 Mg/m³
- Energy relative to the elements: -0.49 eV/atom
- E above lowest polymorph: 30 meV/atom
- Energy: -3.68 eV/atom
- Spin magnetization: 0.00 Bohr magnetons per cell


Question: Look up the spin magnetization of the second one.
Answer: 0.00 Bohr magnetons per cell